(1)
# ReH8Br6N2 | Alexandria via LeMat-Bulk | PBEsol | relaxed
data_ReH8Br6N2
_chemical_formula_sum 'Re4 H32 Br24 N8'
_space_group_name_H-M_alt 'F m -3 m'
_space_group_IT_number 225
_space_group_name_Hall '-F 4 2 3'
_cell_length_a 10.299
_cell_length_b 10.299
_cell_length_c 10.299
_cell_angle_alpha 90.00
_cell_angle_beta 90.00
_cell_angle_gamma 90.00
loop_
_atom_site_label
_atom_site_type_symbol
_atom_site_fract_x
_atom_site_fract_y
_atom_site_fract_z
Re1 Re 0.000 0.000 0.000
H1 H 0.192 0.192 0.308
Br1 Br 0.000 0.000 0.243
N1 N 0.250 0.250 0.250
# Calculated density: 4266 kg/m³


(2)
# MgZrZn2 | Alexandria via LeMat-Bulk | PBEsol | relaxed
data_MgZrZn2
_chemical_formula_sum 'Mg1 Zr1 Zn2'
_space_group_name_H-M_alt 'P m m m'
_space_group_IT_number 47
_space_group_name_Hall '-P 2 2'
_cell_length_a 2.852
_cell_length_b 3.896
_cell_length_c 6.254
_cell_angle_alpha 90.00
_cell_angle_beta 90.00
_cell_angle_gamma 90.00
loop_
_atom_site_label
_atom_site_type_symbol
_atom_site_fract_x
_atom_site_fract_y
_atom_site_fract_z
Mg1 Mg 0.000 0.000 0.000
Zr1 Zr 0.000 0.000 0.500
Zn1 Zn 0.500 0.500 0.242
# Energy relative to the elements: -0.146 eV/atom
# Calculated density: 5887 kg/m³


(3)
# KHg3S | Alexandria via LeMat-Bulk | PBEsol | relaxed
data_KHg3S
_chemical_formula_sum 'K1 Hg3 S1'
_space_group_name_H-M_alt 'P m -3 m'
_space_group_IT_number 221
_space_group_name_Hall '-P 4 2 3'
_cell_length_a 5.430
_cell_length_b 5.430
_cell_length_c 5.430
_cell_angle_alpha 90.00
_cell_angle_beta 90.00
_cell_angle_gamma 90.00
loop_
_atom_site_label
_atom_site_type_symbol
_atom_site_fract_x
_atom_site_fract_y
_atom_site_fract_z
K1 K 0.000 0.000 0.000
Hg1 Hg 0.000 0.500 0.500
S1 S 0.500 0.500 0.500
# E_form (uncorrected): 103 meV/atom
# Calculated density: 6981 kg/m³


(4)
# Zr2MnAs | Alexandria via LeMat-Bulk | PBEsol | relaxed
data_Zr2MnAs
_chemical_formula_sum 'Zr2 Mn1 As1'
_space_group_name_H-M_alt 'P 1 2/m 1'
_space_group_IT_number 10
_space_group_name_Hall '-P 2y'
_cell_length_a 3.400
_cell_length_b 3.400
_cell_length_c 5.897
_cell_angle_alpha 90.00
_cell_angle_beta 90.07
_cell_angle_gamma 90.00
loop_
_atom_site_label
_atom_site_type_symbol
_atom_site_fract_x
_atom_site_fract_y
_atom_site_fract_z
Zr1 Zr 0.001 0.000 0.252
Mn1 Mn 0.500 0.500 0.500
As1 As 0.500 0.500 0.000
# Energy relative to the elements: -0.434 eV/atom
# Calculated density: 7608 kg/m³


(5)
# TaIrW2 | Alexandria via LeMat-Bulk | PBEsol | relaxed
data_TaIrW2
_chemical_formula_sum 'Ta1 Ir1 W2'
_space_group_name_H-M_alt 'P 4/m m m'
_space_group_IT_number 123
_space_group_name_Hall '-P 4 2'
_cell_length_a 3.849
_cell_length_b 3.849
_cell_length_c 4.264
_cell_angle_alpha 90.00
_cell_angle_beta 90.00
_cell_angle_gamma 90.00
loop_
_atom_site_label
_atom_site_type_symbol
_atom_site_fract_x
_atom_site_fract_y
_atom_site_fract_z
Ta1 Ta 0.000 0.000 0.000
Ir1 Ir 0.500 0.500 0.000
W1 W 0.000 0.500 0.500
# Energy above the lowest structure with this stoichiometry: 0.0015 eV/atom
# Energy relative to the elements: -0.027 eV/atom
# Calculated density: 19472 kg/m³


(6)
# NbCrHg2Te | Alexandria via LeMat-Bulk | PBEsol | relaxed
data_NbCrHg2Te
_chemical_formula_sum 'Nb1 Cr1 Hg2 Te1'
_space_group_name_H-M_alt 'P 4/m m m'
_space_group_IT_number 123
_space_group_name_Hall '-P 4 2'
_cell_length_a 5.451
_cell_length_b 5.451
_cell_length_c 5.166
_cell_angle_alpha 90.00
_cell_angle_beta 90.00
_cell_angle_gamma 90.00
loop_
_atom_site_label
_atom_site_type_symbol
_atom_site_fract_x
_atom_site_fract_y
_atom_site_fract_z
Nb1 Nb 0.000 0.000 0.000
Cr1 Cr 0.500 0.500 0.000
Hg1 Hg 0.000 0.500 0.500
Te1 Te 0.000 0.000 0.500
# E_form (uncorrected): 1472 meV/atom
# Calculated density: 7288 kg/m³


(7)
# K2CoF6 | Alexandria via LeMat-Bulk | PBEsol | relaxed
data_K2CoF6
_chemical_formula_sum 'K8 Co4 F24'
_space_group_name_H-M_alt 'F m -3 m'
_space_group_IT_number 225
_space_group_name_Hall '-F 4 2 3'
_cell_length_a 8.044
_cell_length_b 8.044
_cell_length_c 8.044
_cell_angle_alpha 90.00
_cell_angle_beta 90.00
_cell_angle_gamma 90.00
loop_
_atom_site_label
_atom_site_type_symbol
_atom_site_fract_x
_atom_site_fract_y
_atom_site_fract_z
K1 K 0.250 0.250 0.250
Co1 Co 0.000 0.000 0.000
F1 F 0.000 0.000 0.222
# E_form (uncorrected): -2305 meV/atom
# Calculated density: 3205 kg/m³


(8)
# Fe2NiAu | Alexandria via LeMat-Bulk | PBEsol | relaxed
data_Fe2NiAu
_chemical_formula_sum 'Fe4 Ni2 Au2'
_space_group_name_H-M_alt 'I 4/m m m'
_space_group_IT_number 139
_space_group_name_Hall '-I 4 2'
_cell_length_a 3.622
_cell_length_b 3.622
_cell_length_c 7.629
_cell_angle_alpha 90.00
_cell_angle_beta 90.00
_cell_angle_gamma 90.00
loop_
_atom_site_label
_atom_site_type_symbol
_atom_site_fract_x
_atom_site_fract_y
_atom_site_fract_z
Fe1 Fe 0.000 0.500 0.250
Ni1 Ni 0.000 0.000 0.000
Au1 Au 0.000 0.000 0.500
# Energy above the lowest structure with this stoichiometry: 0.0000 eV/atom
# Energy relative to the elements: 0.076 eV/atom
# Calculated density: 12192 kg/m³


| no. | uncorrected energy (eV per atom) |
| --- | --- |
| 1 | -4.494 |
| 2 | -3.638 |
| 3 | -1.341 |
| 4 | -8.696 |
| 5 | -12.525 |
| 6 | -3.673 |
| 7 | -4.702 |
| 8 | -6.926 |